A relaxed FeAs2AuSe crystal, computed with PBE.

Lattice parameters (Å, degrees): 4.387 4.387 5.203 90.00 90.00 90.00
Positions (direct):
Fe 0.000 0.000 0.000
As 0.000 0.500 0.000
As 0.500 0.000 0.000
Au 0.500 0.500 0.500
Se 0.000 0.000 0.500

VASP energy: -0.3272 Ry per atom
Uncorrected formation energy: 2.26 eV per formula unit
ΔE to the lowest computed polymorph: 0.00 eV per formula unit
V: 100.1 Å³/cell
Density: 8.0 g cm⁻³
Total moment: 0.0 μB/f.u.